Entry 1
The following is a PBE calculation of crystalline DyErTlZn at its relaxed geometry, from the Alexandria database.

a b c (Å): 5.2035 5.2035 5.2035
angles (deg): 60.00 60.00 60.00
Element x y z (fractional)
1 Zn 0.0000 0.0000 0.0000
2 Er 0.2500 0.2500 0.2500
3 Tl 0.5000 0.5000 0.5000
4 Dy 0.7500 0.7500 0.7500

Values from the calculation:
Theoretical density: 9.99 g/cm3
Symmetry: No. 216

Entry 2
The following is a PBE calculation of crystalline DyErTlZn at its relaxed geometry, from the Alexandria database.

a b c (Å): 3.6502 3.6502 7.3917
angles (deg): 90.00 90.00 90.00
Element x y z (fractional)
1 Tl 0.5000 0.5000 0.1104
2 Dy 0.0000 0.0000 0.8359
3 Er 0.0000 0.0000 0.3787
4 Zn 0.5000 0.5000 0.6030

Values from the calculation:
Theoretical density: 10.11 g/cm3
Symmetry: No. 99

Most stable structure, least stable structure: entry 2, entry 1.

Entry 1
The following is a PBE calculation of crystalline Dy2ErTm at its relaxed geometry, from the Alexandria database.

a b c (Å): 5.6073 5.6073 5.6073
angles (deg): 60.00 60.00 60.00
Element x y z (fractional)
1 Dy 0.7500 0.7500 0.7500
2 Dy 0.2500 0.2500 0.2500
3 Tm 0.5000 0.5000 0.5000
4 Er 0.0000 0.0000 0.0000

Values from the calculation:
Theoretical density: 8.81 g/cm3
Symmetry: No. 225

Entry 2
The following is a PBE calculation of crystalline Dy2ErTm at its relaxed geometry, from the Alexandria database.

a b c (Å): 5.5634 12.4328 7.1906
angles (deg): 90.00 90.00 90.00
Element x y z (fractional)
1 Dy 0.4433 0.5839 0.9995
2 Dy 0.4433 0.5839 0.4999
3 Dy 0.9433 0.4161 0.0005
4 Dy 0.9433 0.9161 0.9999
5 Dy 0.4433 0.0839 0.5005
6 Dy 0.4433 0.0839 0.0001
7 Dy 0.9433 0.9161 0.4995
8 Dy 0.9433 0.4161 0.5001
9 Tm 0.4432 0.8332 0.2497
10 Tm 0.4432 0.3332 0.2503
11 Tm 0.9432 0.1668 0.7503
12 Tm 0.9432 0.6668 0.7497
13 Er 0.4433 0.3330 0.7502
14 Er 0.9433 0.1670 0.2502
15 Er 0.4433 0.8330 0.7498
16 Er 0.9433 0.6670 0.2498

Values from the calculation:
Theoretical density: 8.83 g/cm3
Symmetry: No. 59

Entry 3
The following is a PBE calculation of crystalline Dy2ErTm at its relaxed geometry, from the Alexandria database.

a b c (Å): 3.5043 4.9683 7.0255
angles (deg): 90.00 90.00 90.00
Element x y z (fractional)
1 Er 0.0000 0.0000 0.5010
2 Tm 0.5000 0.5000 0.7493
3 Dy 0.5000 0.5000 0.2506
4 Dy 0.0000 0.0000 0.9991

Values from the calculation:
Theoretical density: 8.98 g/cm3
Symmetry: No. 25

Most stable structure, least stable structure: entry 2, entry 1.

Entry 1
The following is a PBE calculation of crystalline Dy2ErTm at its relaxed geometry, from the Alexandria database.

a b c (Å): 3.5404 3.5404 11.5027
angles (deg): 81.15 81.15 60.00
Element x y z (fractional)
1 Er 0.6665 0.6665 0.0004
2 Dy 0.0839 0.0839 0.7483
3 Dy 0.2493 0.2493 0.2521
4 Tm 0.5003 0.5003 0.4992

Values from the calculation:
Theoretical density: 8.94 g/cm3
Symmetry: No. 160

Entry 2
The following is a PBE calculation of crystalline Dy2ErTm at its relaxed geometry, from the Alexandria database.

a b c (Å): 4.9618 4.9700 4.9700
angles (deg): 90.00 90.00 90.00
Element x y z (fractional)
1 Dy 0.0000 0.5000 0.0000
2 Dy 0.0000 0.0000 0.5000
3 Er 0.5000 0.5000 0.5000
4 Tm 0.5000 0.0000 0.0000

Values from the calculation:
Theoretical density: 8.96 g/cm3
Symmetry: No. 123

Most stable structure, least stable structure: entry 1, entry 2.